[1]
VASP calculation (meta-GGA SCAN) on a crystal of Cr5P3 relaxed with PBEsol.

Computed properties:
* formation energy from the elements: -3.16 eV/f.u.
* space group: P6_3/mcm, No. 193

Structure (POSCAR):
```
Cr5P3
1.0
6.623 0.000 0.000
-3.311 5.735 0.000
0.000 0.000 4.628
Cr P
10 6
direct
0.000 0.244 0.250
0.000 0.756 0.750
0.244 0.000 0.250
0.244 0.244 0.750
0.333 0.667 0.000
0.333 0.667 0.500
0.667 0.333 0.000
0.667 0.333 0.500
0.756 0.000 0.750
0.756 0.756 0.250
0.000 0.387 0.750
0.000 0.613 0.250
0.387 0.000 0.750
0.387 0.387 0.250
0.613 0.000 0.250
0.613 0.613 0.750
```


[2]
VASP calculation (meta-GGA SCAN) on a crystal of Cr2P relaxed with PBEsol.

Computed properties:
* formation energy from the elements: -1.33 eV/f.u.
* space group: Imm2, No. 44

Structure (POSCAR):
```
Cr2P
1.0
-3.201 5.038 3.136
3.201 -5.038 3.136
3.201 5.038 -3.136
Cr P
12 6
direct
0.000 0.000 0.000
0.076 0.576 0.500
0.196 0.114 0.668
0.196 0.527 0.082
0.383 0.097 0.286
0.445 0.114 0.918
0.445 0.527 0.332
0.471 0.683 0.788
0.708 0.006 0.297
0.708 0.411 0.703
0.811 0.097 0.714
0.894 0.683 0.212
0.115 0.223 0.439
0.115 0.676 0.892
0.422 0.922 0.500
0.531 0.531 0.000
0.784 0.223 0.108
0.784 0.676 0.561
```


[3]
VASP calculation (meta-GGA SCAN) on a crystal of Cr5P3 relaxed with PBEsol.

Computed properties:
* formation energy from the elements: -3.49 eV/f.u.
* space group: I4/mcm, No. 140

Structure (POSCAR):
```
Cr5P3
1.0
-4.360 4.360 2.292
4.360 -4.360 2.292
4.360 4.360 -2.292
Cr P
10 6
direct
0.077 0.780 0.857
0.220 0.077 0.297
0.250 0.750 0.500
0.280 0.577 0.857
0.423 0.280 0.703
0.577 0.720 0.297
0.720 0.423 0.143
0.750 0.250 0.500
0.780 0.923 0.703
0.923 0.220 0.143
0.165 0.335 0.500
0.250 0.250 0.000
0.335 0.835 0.171
0.665 0.165 0.829
0.750 0.750 0.000
0.835 0.665 0.500
```


[4]
VASP calculation (meta-GGA SCAN) on a crystal of Cr12P7 relaxed with PBEsol.

Computed properties:
* formation energy from the elements: -8.56 eV/f.u.
* space group: P-6, No. 174

Structure (POSCAR):
```
Cr12P7
1.0
8.980 0.000 0.000
-4.490 7.777 0.000
0.000 0.000 3.099
Cr P
12 7
direct
0.017 0.217 0.000
0.141 0.639 0.000
0.200 0.983 0.000
0.261 0.247 0.500
0.361 0.502 0.000
0.498 0.859 0.000
0.508 0.129 0.500
0.621 0.492 0.500
0.753 0.015 0.500
0.783 0.800 0.000
0.871 0.379 0.500
0.985 0.739 0.500
0.000 0.000 0.500
0.155 0.449 0.500
0.295 0.845 0.500
0.457 0.285 0.000
0.551 0.705 0.500
0.715 0.172 0.000
0.828 0.543 0.000
```


[5]
VASP calculation (meta-GGA SCAN) on a crystal of Cr5P relaxed with PBEsol.

Computed properties:
* formation energy from the elements: -0.75 eV/f.u.
* space group: C2/m, No. 12

Structure (POSCAR):
```
Cr5P
1.0
8.727 0.000 0.000
0.000 2.878 0.000
-1.806 0.000 5.211
Cr P
10 2
direct
0.000 0.000 0.000
0.165 0.500 0.832
0.171 0.500 0.337
0.329 0.000 0.663
0.335 0.000 0.168
0.500 0.500 0.000
0.665 0.000 0.832
0.671 0.000 0.337
0.829 0.500 0.663
0.835 0.500 0.168
0.000 0.000 0.500
0.500 0.500 0.500
```


[6]
VASP calculation (meta-GGA SCAN) on a crystal of Cr4P relaxed with PBEsol.

Computed properties:
* formation energy from the elements: 3.66 eV/f.u.
* space group: I4/mmm, No. 139

Structure (POSCAR):
```
Cr4P
1.0
3.519 0.000 0.000
0.000 3.519 0.000
0.000 0.000 10.305
Cr P
8 2
direct
0.000 0.000 0.110
0.000 0.000 0.890
0.000 0.500 0.250
0.000 0.500 0.750
0.500 0.000 0.250
0.500 0.000 0.750
0.500 0.500 0.390
0.500 0.500 0.610
0.000 0.000 0.500
0.500 0.500 0.000
```


> What is the formation energy from the elements in the sixth record?

3.66 eV/f.u.


Copy entry 1 word for word.
VASP calculation (meta-GGA SCAN) on a crystal of Cr5P3 relaxed with PBEsol.

Computed properties:
* formation energy from the elements: -3.16 eV/f.u.
* space group: P6_3/mcm, No. 193

Structure (POSCAR):
```
Cr5P3
1.0
6.623 0.000 0.000
-3.311 5.735 0.000
0.000 0.000 4.628
Cr P
10 6
direct
0.000 0.244 0.250
0.000 0.756 0.750
0.244 0.000 0.250
0.244 0.244 0.750
0.333 0.667 0.000
0.333 0.667 0.500
0.667 0.333 0.000
0.667 0.333 0.500
0.756 0.000 0.750
0.756 0.756 0.250
0.000 0.387 0.750
0.000 0.613 0.250
0.387 0.000 0.750
0.387 0.387 0.250
0.613 0.000 0.250
0.613 0.613 0.750
```